A plane-wave DFT calculation with GGA-PBE was carried out for a relaxed SrTmNO crystal.

Cell and atoms, written as POSCAR:
```
SrTmNO
1.0
4.0365 0.0000 0.0000
0.0000 7.2105 0.0000
0.0000 0.0000 4.9688
Sr Tm N O
2 2 2 2
Cartesian
0.0000 1.1857 0.0000
0.0000 6.0247 2.4844
2.0182 2.5128 2.5236
2.0182 4.6976 0.0393
2.0182 2.5464 4.8579
2.0182 4.6641 2.3735
0.0000 1.4444 2.4599
0.0000 5.7660 4.9443
```

Summary:
Its total energy is -27.72 eV/f.u. As for the spin magnetization: 0.000 μB per atom. The distance to the lowest polymorph of the same formula is 84.3 meV/atom.